Entry 1:
DFT (GGA-PBE) results for a geometry-optimized LiPdW structure.

```
LiPdW
1.0
0.0000 2.8175 2.8175
2.8175 0.0000 2.8175
2.8175 2.8175 0.0000
Li Pd W
1 1 1
direct
0.0000 0.0000 0.0000
0.7500 0.7500 0.7500
0.2500 0.2500 0.2500
```

Magnetic moment ... 0.0056 μB/atom
SG ... F-43m
Total DFT energy (no corrections) ... -5.521 eV/atom

***

Entry 2:
DFT (GGA-PBE) results for a geometry-optimized MgNbTlOs structure.

```
MgNbTlOs
1.0
0.0000 3.2944 3.2944
3.2944 0.0000 3.2944
3.2944 3.2944 0.0000
Mg Nb Tl Os
1 1 1 1
direct
0.0000 0.0000 0.0000
0.5000 0.5000 0.5000
0.2500 0.2500 0.2500
0.7500 0.7500 0.7500
```

Magnetic moment ... 0.0008 μB/atom
SG ... F-43m
Energy relative to the lowest polymorph listed for this composition ... 0.043 eV per atom
Total DFT energy (no corrections) ... -6.031 eV/atom

***

Entry 3:
DFT (GGA-PBE) results for a geometry-optimized LaCdInSe3 structure.

```
LaCdInSe3
1.0
8.5656 0.0000 0.0000
0.0000 4.5281 0.0000
0.0000 0.0000 17.4793
La Cd In Se
4 4 4 12
direct
0.2380 0.2500 0.0424
0.2620 0.7500 0.5424
0.7380 0.2500 0.4576
0.7620 0.7500 0.9576
0.1233 0.2500 0.3543
0.3767 0.7500 0.8543
0.6233 0.2500 0.1457
0.8767 0.7500 0.6457
0.0670 0.2500 0.7865
0.4330 0.7500 0.2865
0.5670 0.2500 0.7135
0.9330 0.7500 0.2135
0.0107 0.2500 0.5855
0.1216 0.7500 0.9455
0.1999 0.2500 0.2092
0.3001 0.7500 0.7092
0.3784 0.2500 0.4455
0.4893 0.7500 0.0855
0.5107 0.2500 0.9145
0.6216 0.7500 0.5545
0.6999 0.2500 0.2908
0.8001 0.7500 0.7908
0.8784 0.2500 0.0545
0.9893 0.7500 0.4145
```

Magnetic moment ... 0.0001 μB/atom
SG ... Pnma
Energy relative to the lowest polymorph listed for this composition ... 0.037 eV per atom
Total DFT energy (no corrections) ... -4.208 eV/atom

***

Entry 4:
DFT (GGA-PBE) results for a geometry-optimized Ba2CuS3 structure.

```
Ba2CuS3
1.0
-2.1889 2.4223 7.7129
2.1889 -2.4223 7.7129
2.1889 2.4223 -7.7129
Ba Cu S
2 1 3
direct
0.1454 0.1454 0.0000
0.8546 0.8546 0.0000
0.5000 0.5000 0.0000
0.0000 0.5000 0.5000
0.3502 0.3502 0.0000
0.6498 0.6498 0.0000
```

SG ... Immm
Total DFT energy (no corrections) ... -4.743 eV/atom

***

Entry 5:
DFT (GGA-PBE) results for a geometry-optimized NbInOs structure.

```
NbInOs
1.0
0.0000 3.1501 3.1501
3.1501 0.0000 3.1501
3.1501 3.1501 0.0000
Nb In Os
1 1 1
direct
0.0000 0.0000 0.0000
0.7500 0.7500 0.7500
0.2500 0.2500 0.2500
```

Magnetic moment ... 0.0001 μB/atom
SG ... F-43m
Total DFT energy (no corrections) ... -7.357 eV/atom

***

Entry 6:
DFT (GGA-PBE) results for a geometry-optimized SmAlFe2C structure.

```
SmAlFe2C
1.0
4.0395 0.0000 0.0000
0.0000 4.0395 0.0000
0.0000 0.0000 4.8260
Sm Al Fe C
1 1 2 1
direct
0.0000 0.0000 0.0000
0.5000 0.5000 0.0000
0.0000 0.5000 0.5000
0.5000 0.0000 0.5000
0.0000 0.0000 0.5000
```

Magnetic moment ... 0.9507 μB/atom
SG ... P4/mmm
Total DFT energy (no corrections) ... -6.621 eV/atom

***

Entry 7:
DFT (GGA-PBE) results for a geometry-optimized Li2LuBi structure.

```
Li2LuBi
1.0
0.0000 3.5700 3.5700
3.5700 0.0000 3.5700
3.5700 3.5700 0.0000
Li Lu Bi
2 1 1
direct
0.0000 0.0000 0.0000
0.2500 0.2500 0.2500
0.7500 0.7500 0.7500
0.5000 0.5000 0.5000
```

Magnetic moment ... 0.0002 μB/atom
SG ... F-43m
Total DFT energy (no corrections) ... -3.354 eV/atom

***

Entry 8:
DFT (GGA-PBE) results for a geometry-optimized AlCoIrW structure.

```
AlCoIrW
1.0
0.0000 3.0296 3.0296
3.0296 0.0000 3.0296
3.0296 3.0296 0.0000
Al Co Ir W
1 1 1 1
direct
0.0000 0.0000 0.0000
0.2500 0.2500 0.2500
0.5000 0.5000 0.5000
0.7500 0.7500 0.7500
```

Magnetic moment ... 0.2514 μB/atom
SG ... F-43m
Energy relative to the lowest polymorph listed for this composition ... 0.181 eV per atom
Total DFT energy (no corrections) ... -8.199 eV/atom

***

Entry 9:
DFT (GGA-PBE) results for a geometry-optimized NdErInCo2 structure.

```
NdErInCo2
1.0
3.9484 0.0000 0.0000
0.0000 1.9181 6.9724
0.0000 -1.9181 6.9724
Nd Er In Co
1 1 1 2
direct
0.0000 0.0000 0.0000
0.0000 0.2776 0.2776
0.5000 0.6430 0.6430
0.5000 0.4263 0.4263
0.5000 0.8412 0.8412
```

Magnetic moment ... 0.2628 μB/atom
SG ... Amm2
Total DFT energy (no corrections) ... -5.553 eV/atom

***

Entry 10:
DFT (GGA-PBE) results for a geometry-optimized Gd3SbAu9 structure.

```
Gd3SbAu9
1.0
8.2293 0.0000 0.0000
-4.1147 7.1268 0.0000
0.0000 0.0000 9.1052
Gd Sb Au
6 2 18
direct
0.0352 0.3210 0.2500
0.2859 0.9648 0.2500
0.3210 0.2859 0.7500
0.6790 0.7141 0.2500
0.7141 0.0352 0.7500
0.9648 0.6790 0.7500
0.0000 0.0000 0.0000
0.0000 0.0000 0.5000
0.0341 0.3684 0.5890
0.0341 0.3684 0.9110
0.3333 0.6667 0.0863
0.3333 0.6667 0.4137
0.3333 0.6667 0.7500
0.3343 0.9659 0.5890
0.3343 0.9659 0.9110
0.3684 0.3343 0.0890
0.3684 0.3343 0.4110
0.6316 0.6657 0.5890
0.6316 0.6657 0.9110
0.6657 0.0341 0.0890
0.6657 0.0341 0.4110
0.6667 0.3333 0.2500
0.6667 0.3333 0.5863
0.6667 0.3333 0.9137
0.9659 0.6316 0.0890
0.9659 0.6316 0.4110
```

Magnetic moment ... 0.0007 μB/atom
SG ... P6_3/m
Total DFT energy (no corrections) ... -4.334 eV/atom

***

Entry 11:
DFT (GGA-PBE) results for a geometry-optimized RbGeOs structure.

```
RbGeOs
1.0
0.0000 3.5506 3.5506
3.5506 0.0000 3.5506
3.5506 3.5506 0.0000
Rb Ge Os
1 1 1
direct
0.0000 0.0000 0.0000
0.7500 0.7500 0.7500
0.2500 0.2500 0.2500
```

Magnetic moment ... 0.5285 μB/atom
SG ... F-43m
Energy relative to the lowest polymorph listed for this composition ... 1.145 eV per atom
Total DFT energy (no corrections) ... -3.033 eV/atom

***

Entry 12:
DFT (GGA-PBE) results for a geometry-optimized CsNbAgAu structure.

```
CsNbAgAu
1.0
0.0000 3.5358 3.5358
3.5358 0.0000 3.5358
3.5358 3.5358 0.0000
Cs Nb Ag Au
1 1 1 1
direct
0.0000 0.0000 0.0000
0.7500 0.7500 0.7500
0.2500 0.2500 0.2500
0.5000 0.5000 0.5000
```

Magnetic moment ... 0.0019 μB/atom
SG ... F-43m
Energy relative to the lowest polymorph listed for this composition ... 0.023 eV per atom
Total DFT energy (no corrections) ... -3.203 eV/atom

***

Entry 13:
DFT (GGA-PBE) results for a geometry-optimized KLaTb2Mg3In2 structure.

```
KLaTb2Mg3In2
1.0
4.8006 0.0000 0.0000
0.0000 7.0578 3.9506
0.0000 -7.0578 3.9506
K La Tb Mg In
1 1 2 3 2
direct
0.0000 0.0000 0.0000
0.0000 0.5684 0.5684
0.0000 0.4239 0.9818
0.0000 0.9818 0.4239
0.5000 0.2633 0.2633
0.5000 0.7160 0.9852
0.5000 0.9852 0.7160
0.5000 0.3101 0.6506
0.5000 0.6506 0.3101
```

Magnetic moment ... 0.0029 μB/atom
SG ... Amm2
Total DFT energy (no corrections) ... -2.847 eV/atom

***

Entry 14:
DFT (GGA-PBE) results for a geometry-optimized TbTlHgS3 structure.

```
TbTlHgS3
1.0
8.0414 0.0000 0.0000
0.0000 4.3763 0.0000
0.0000 0.0000 16.4855
Tb Tl Hg S
4 4 4 12
direct
0.2278 0.2500 0.0376
0.2722 0.7500 0.5376
0.7278 0.2500 0.4624
0.7722 0.7500 0.9624
0.0657 0.2500 0.8058
0.4343 0.7500 0.3058
0.5657 0.2500 0.6942
0.9343 0.7500 0.1942
0.0810 0.2500 0.3433
0.4190 0.7500 0.8433
0.5810 0.2500 0.1567
0.9190 0.7500 0.6567
0.0005 0.7500 0.4233
0.1246 0.7500 0.9522
0.2216 0.2500 0.2038
0.2784 0.7500 0.7038
0.3754 0.2500 0.4522
0.4995 0.2500 0.9233
0.5005 0.7500 0.0767
0.6246 0.7500 0.5478
0.7216 0.2500 0.2962
0.7784 0.7500 0.7962
0.8754 0.2500 0.0478
0.9995 0.2500 0.5767
```

Magnetic moment ... 0.0003 μB/atom
SG ... Pnma
Energy relative to the lowest polymorph listed for this composition ... 0.098 eV per atom
Total DFT energy (no corrections) ... -4.170 eV/atom

***

Entry 15:
DFT (GGA-PBE) results for a geometry-optimized PdS2O7 structure.

```
PdS2O7
1.0
4.9779 0.0000 0.0000
0.0000 12.9221 0.0000
-4.2775 0.0000 7.5828
Pd S O
4 8 28
direct
0.1856 0.1440 0.3448
0.1856 0.3560 0.8448
0.8144 0.6440 0.1552
0.8144 0.8560 0.6552
0.1760 0.6828 0.5615
0.1760 0.8172 0.0615
0.4063 0.0305 0.7118
0.4063 0.4695 0.2118
0.5937 0.5305 0.7882
0.5937 0.9695 0.2882
0.8240 0.1828 0.9385
0.8240 0.3172 0.4385
0.1282 0.1681 0.0973
0.1282 0.3319 0.5973
0.1516 0.7479 0.1883
0.1516 0.7521 0.6883
0.2375 0.1170 0.5891
0.2375 0.3830 0.0891
0.2372 0.5695 0.6636
0.2372 0.9305 0.1636
0.2759 0.0050 0.8203
0.2759 0.4950 0.3203
0.4320 0.7006 0.5342
0.4320 0.7994 0.0342
0.4470 0.5552 0.1137
0.4470 0.9448 0.6137
0.5530 0.0552 0.3863
0.5530 0.4448 0.8863
0.5680 0.2006 0.9658
0.5680 0.2994 0.4658
0.7241 0.5050 0.6797
0.7241 0.9950 0.1797
0.7628 0.0695 0.8364
0.7628 0.4305 0.3364
0.7625 0.6170 0.9109
0.7625 0.8830 0.4109
0.8484 0.2479 0.3117
0.8484 0.2521 0.8117
0.8718 0.6681 0.4027
0.8718 0.8319 0.9027
```

SG ... P2_1/c
Total DFT energy (no corrections) ... -5.739 eV/atom

***

Entry 16:
DFT (GGA-PBE) results for a geometry-optimized ZrBeTlNi structure.

```
ZrBeTlNi
1.0
0.0000 3.1658 3.1658
3.1658 0.0000 3.1658
3.1658 3.1658 0.0000
Zr Be Tl Ni
1 1 1 1
direct
0.0000 0.0000 0.0000
0.2500 0.2500 0.2500
0.5000 0.5000 0.5000
0.7500 0.7500 0.7500
```

Magnetic moment ... 0.0009 μB/atom
SG ... F-43m
Total DFT energy (no corrections) ... -5.042 eV/atom

***

Entry 17:
DFT (GGA-PBE) results for a geometry-optimized HfPtC2 structure.

```
HfPtC2
1.0
3.2296 0.0000 0.0000
0.0000 3.2296 0.0000
0.0000 0.0000 4.5522
Hf Pt C
1 1 2
direct
0.0000 0.0000 0.0000
0.5000 0.5000 0.5000
0.0000 0.0000 0.5000
0.5000 0.5000 0.0000
```

Magnetic moment ... 0.0004 μB/atom
SG ... P4/mmm
Total DFT energy (no corrections) ... -8.287 eV/atom

***

Entry 18:
DFT (GGA-PBE) results for a geometry-optimized Ge4Ir3Pt structure.

```
Ge4Ir3Pt
1.0
5.6311 0.0000 0.0000
0.0000 3.5704 0.0000
-0.0315 0.0000 6.3920
Ge Ir Pt
4 3 1
direct
0.0000 0.0000 0.0000
0.1155 0.5000 0.5055
0.4855 0.0000 0.3553
0.6076 0.5000 0.8453
0.3040 0.5000 0.1305
0.3055 0.0000 0.7226
0.8053 0.0000 0.6346
0.8023 0.5000 0.2226
```

Magnetic moment ... 0.0000 μB/atom
SG ... Pm
Total DFT energy (no corrections) ... -6.772 eV/atom

***

Entry 19:
DFT (GGA-PBE) results for a geometry-optimized ZnGa6Pb5S15 structure.

```
ZnGa6Pb5S15
1.0
22.3728 0.0000 0.0000
0.0000 9.1185 3.1563
0.0000 -9.1185 3.1563
Zn Ga Pb S
2 12 10 30
direct
0.0000 0.0000 0.0000
0.5000 0.0000 0.0000
0.0276 0.1334 0.7424
0.1628 0.0190 0.0843
0.2500 0.5432 0.6073
0.2500 0.7212 0.1092
0.3372 0.0190 0.0843
0.4724 0.1334 0.7424
0.5276 0.7424 0.1334
0.6628 0.0843 0.0190
0.7500 0.1092 0.7212
0.7500 0.6073 0.5432
0.8372 0.0843 0.0190
0.9724 0.7424 0.1334
0.1086 0.5650 0.2761
0.1122 0.3965 0.6709
0.2500 0.0196 0.7206
0.3878 0.3965 0.6709
0.3914 0.5650 0.2761
0.6086 0.2761 0.5650
0.6122 0.6709 0.3965
0.7500 0.7206 0.0196
0.8878 0.6709 0.3965
0.8914 0.2761 0.5650
0.0005 0.6568 0.8509
0.0088 0.0914 0.4755
0.0825 0.2464 0.2360
0.1279 0.2194 0.8088
0.1577 0.8771 0.1900
0.1684 0.7484 0.7030
0.2500 0.2345 0.2145
0.2500 0.4014 0.7147
0.2500 0.6244 0.2603
0.3316 0.7484 0.7030
0.3423 0.8771 0.1900
0.3721 0.2194 0.8088
0.4175 0.2464 0.2360
0.4912 0.0914 0.4755
0.4995 0.6568 0.8509
0.5005 0.8509 0.6568
0.5088 0.4755 0.0914
0.5825 0.2360 0.2464
0.6279 0.8088 0.2194
0.6577 0.1900 0.8771
0.6684 0.7030 0.7484
0.7500 0.2145 0.2345
0.7500 0.2603 0.6244
0.7500 0.7147 0.4014
0.8316 0.7030 0.7484
0.8423 0.1900 0.8771
0.8721 0.8088 0.2194
0.9175 0.2360 0.2464
0.9912 0.4755 0.0914
0.9995 0.8509 0.6568
```

SG ... Ama2
Total DFT energy (no corrections) ... -4.344 eV/atom

***

Entry 20:
DFT (GGA-PBE) results for a geometry-optimized NaNdAu3S4 structure.

```
NaNdAu3S4
1.0
6.1931 0.0000 0.0000
0.0000 6.1931 0.0000
0.0000 0.0000 6.1931
Na Nd Au S
1 1 3 4
direct
0.0000 0.0000 0.0000
0.5000 0.5000 0.5000
0.0000 0.5000 0.5000
0.5000 0.0000 0.5000
0.5000 0.5000 0.0000
0.2526 0.2526 0.2526
0.2526 0.7474 0.7474
0.7474 0.2526 0.7474
0.7474 0.7474 0.2526
```

Magnetic moment ... 0.0001 μB/atom
SG ... P-43m
Total DFT energy (no corrections) ... -4.095 eV/atom